Entry 1:
This record from Alexandria describes Ce4Sb2N after structural relaxation. The functional is PBE-GGA.

size of the total moment = 2.92 μB per formula unit
raw formation energy = -1.0305 eV per atom
SG = I4/mmm (139)

Structure (CIF):
```
data_Ce4Sb2N
_symmetry_space_group_name_H-M 'P 1'
_symmetry_Int_Tables_number 1
_cell_length_a 4.753
_cell_length_b 4.753
_cell_length_c 8.891
_cell_angle_alpha 105.50
_cell_angle_beta 105.50
_cell_angle_gamma 90.00
loop_
_symmetry_equiv_pos_as_xyz
'x,y,z'
loop_
_atom_site_label
_atom_site_fract_x
_atom_site_fract_y
_atom_site_fract_z
Sb1 0.358 0.358 0.716
Sb2 0.642 0.642 0.284
Ce1 0.160 0.160 0.319
Ce2 0.840 0.840 0.681
Ce3 0.500 0.000 0.000
Ce4 0.000 0.500 0.000
N1 0.000 0.000 0.000
```

Entry 2:
This record from Alexandria describes CsLiTc2 after structural relaxation. The functional is PBE-GGA.

size of the total moment = 0.00 μB per formula unit
formation energy = 1890 meV per atom
SG = Fm-3m (225)

Structure (CIF):
```
data_CsLiTc2
_symmetry_space_group_name_H-M 'P 1'
_symmetry_Int_Tables_number 1
_cell_length_a 4.609
_cell_length_b 4.609
_cell_length_c 4.609
_cell_angle_alpha 60.00
_cell_angle_beta 60.00
_cell_angle_gamma 60.00
loop_
_symmetry_equiv_pos_as_xyz
'x,y,z'
loop_
_atom_site_label
_atom_site_fract_x
_atom_site_fract_y
_atom_site_fract_z
Cs1 0.500 0.500 0.500
Tc1 0.250 0.250 0.250
Tc2 0.750 0.750 0.750
Li1 0.000 0.000 0.000
```

Entry 3:
This record from Alexandria describes CePmPO2 after structural relaxation. The functional is PBE-GGA.

size of the total moment = 0.16 μB per formula unit
raw formation energy = -2.6416 eV per atom
SG = I4mm (107)

Structure (CIF):
```
data_CePmPO2
_symmetry_space_group_name_H-M 'P 1'
_symmetry_Int_Tables_number 1
_cell_length_a 3.841
_cell_length_b 3.841
_cell_length_c 6.709
_cell_angle_alpha 106.63
_cell_angle_beta 106.63
_cell_angle_gamma 90.00
loop_
_symmetry_equiv_pos_as_xyz
'x,y,z'
loop_
_atom_site_label
_atom_site_fract_x
_atom_site_fract_y
_atom_site_fract_z
Pm1 0.146 0.146 0.291
Ce1 0.852 0.852 0.704
O1 0.253 0.753 0.507
O2 0.753 0.253 0.507
P1 0.495 0.495 0.991
```

Entry 4:
This record from Alexandria describes CuSeNO2 after structural relaxation. The functional is PBE-GGA.

size of the total moment = 0.00 μB per formula unit
raw formation energy = 0.8010 eV per atom
SG = P4/mmm (123)

Structure (CIF):
```
data_CuSeNO2
_symmetry_space_group_name_H-M 'P 1'
_symmetry_Int_Tables_number 1
_cell_length_a 3.690
_cell_length_b 3.690
_cell_length_c 3.926
_cell_angle_alpha 90.00
_cell_angle_beta 90.00
_cell_angle_gamma 90.00
loop_
_symmetry_equiv_pos_as_xyz
'x,y,z'
loop_
_atom_site_label
_atom_site_fract_x
_atom_site_fract_y
_atom_site_fract_z
O1 0.000 0.500 0.000
O2 0.500 0.000 0.000
Cu1 0.500 0.500 0.500
Se1 0.000 0.000 0.000
N1 0.000 0.000 0.500
```

Entry 5:
This record from Alexandria describes NaTb3Y3Se8 after structural relaxation. The functional is PBE-GGA.

size of the total moment = 0.00 μB per formula unit
raw formation energy = -1.7901 eV per atom
SG = R-3m (166)

Structure (CIF):
```
data_NaTb3Y3Se8
_symmetry_space_group_name_H-M 'P 1'
_symmetry_Int_Tables_number 1
_cell_length_a 8.156
_cell_length_b 8.157
_cell_length_c 8.158
_cell_angle_alpha 119.99
_cell_angle_beta 90.00
_cell_angle_gamma 119.99
loop_
_symmetry_equiv_pos_as_xyz
'x,y,z'
loop_
_atom_site_label
_atom_site_fract_x
_atom_site_fract_y
_atom_site_fract_z
Se1 0.250 0.500 0.251
Se2 0.255 0.000 0.246
Se3 0.750 0.500 0.749
Se4 0.745 0.000 0.754
Se5 0.746 0.491 0.246
Se6 0.254 0.000 0.754
Se7 0.254 0.509 0.754
Se8 0.746 0.000 0.246
Tb1 0.500 0.500 0.000
Tb2 0.000 0.000 0.000
Tb3 0.000 0.500 0.000
Y1 0.000 0.500 0.500
Y2 0.500 0.000 0.500
Y3 0.500 0.500 0.500
Na1 0.000 0.000 0.500
```

Entry 6:
This record from Alexandria describes ErThZnIr after structural relaxation. The functional is PBE-GGA.

size of the total moment = 0.00 μB per formula unit
formation energy = -541 meV per atom
SG = F-43m (216)

Structure (CIF):
```
data_ErThZnIr
_symmetry_space_group_name_H-M 'P 1'
_symmetry_Int_Tables_number 1
_cell_length_a 5.021
_cell_length_b 5.021
_cell_length_c 5.021
_cell_angle_alpha 60.00
_cell_angle_beta 60.00
_cell_angle_gamma 60.00
loop_
_symmetry_equiv_pos_as_xyz
'x,y,z'
loop_
_atom_site_label
_atom_site_fract_x
_atom_site_fract_y
_atom_site_fract_z
Zn1 0.000 0.000 0.000
Er1 0.750 0.750 0.750
Th1 0.250 0.250 0.250
Ir1 0.500 0.500 0.500
```

Entry 7:
This record from Alexandria describes Nb2RuBr after structural relaxation. The functional is PBE-GGA.

size of the total moment = 0.00 μB per formula unit
raw formation energy = 0.4552 eV per atom
SG = Fm-3m (225)

Structure (CIF):
```
data_Nb2RuBr
_symmetry_space_group_name_H-M 'P 1'
_symmetry_Int_Tables_number 1
_cell_length_a 4.588
_cell_length_b 4.588
_cell_length_c 4.588
_cell_angle_alpha 60.00
_cell_angle_beta 60.00
_cell_angle_gamma 60.00
loop_
_symmetry_equiv_pos_as_xyz
'x,y,z'
loop_
_atom_site_label
_atom_site_fract_x
_atom_site_fract_y
_atom_site_fract_z
Br1 0.000 0.000 0.000
Ru1 0.500 0.500 0.500
Nb1 0.750 0.750 0.750
Nb2 0.250 0.250 0.250
```

Entry 8:
This record from Alexandria describes Fe2SiCl after structural relaxation. The functional is PBE-GGA.

size of the total moment = 4.58 μB per formula unit
raw formation energy = 0.0399 eV per atom
SG = C2/m (12)

Structure (CIF):
```
data_Fe2SiCl
_symmetry_space_group_name_H-M 'P 1'
_symmetry_Int_Tables_number 1
_cell_length_a 4.151
_cell_length_b 4.151
_cell_length_c 6.903
_cell_angle_alpha 60.06
_cell_angle_beta 60.06
_cell_angle_gamma 41.68
loop_
_symmetry_equiv_pos_as_xyz
'x,y,z'
loop_
_atom_site_label
_atom_site_fract_x
_atom_site_fract_y
_atom_site_fract_z
Si1 0.750 0.750 0.750
Cl1 0.250 0.250 0.250
Fe1 0.959 0.959 0.907
Fe2 0.541 0.541 0.593
```

Entry 9:
This record from Alexandria describes Ac2MgSe2O2 after structural relaxation. The functional is PBE-GGA.

size of the total moment = 0.00 μB per formula unit
raw formation energy = -2.5323 eV per atom
SG = I4/mmm (139)

Structure (CIF):
```
data_Ac2MgSe2O2
_symmetry_space_group_name_H-M 'P 1'
_symmetry_Int_Tables_number 1
_cell_length_a 4.241
_cell_length_b 4.241
_cell_length_c 8.482
_cell_angle_alpha 104.48
_cell_angle_beta 104.48
_cell_angle_gamma 90.00
loop_
_symmetry_equiv_pos_as_xyz
'x,y,z'
loop_
_atom_site_label
_atom_site_fract_x
_atom_site_fract_y
_atom_site_fract_z
Mg1 0.000 0.000 0.000
Se1 0.823 0.823 0.646
Se2 0.177 0.177 0.354
Ac1 0.386 0.386 0.772
Ac2 0.614 0.614 0.228
O1 0.500 0.000 0.000
O2 0.000 0.500 0.000
```

Entry 10:
This record from Alexandria describes BaNb3C after structural relaxation. The functional is PBE-GGA.

size of the total moment = 0.00 μB per formula unit
formation energy = 3788 meV per atom
SG = Pm-3m (221)

Structure (CIF):
```
data_BaNb3C
_symmetry_space_group_name_H-M 'P 1'
_symmetry_Int_Tables_number 1
_cell_length_a 5.042
_cell_length_b 5.042
_cell_length_c 5.042
_cell_angle_alpha 90.00
_cell_angle_beta 90.00
_cell_angle_gamma 90.00
loop_
_symmetry_equiv_pos_as_xyz
'x,y,z'
loop_
_atom_site_label
_atom_site_fract_x
_atom_site_fract_y
_atom_site_fract_z
Nb1 0.000 0.000 0.500
Nb2 0.000 0.500 0.000
Nb3 0.500 0.000 0.000
Ba1 0.000 0.000 0.000
C1 0.500 0.500 0.500
```

Entry 11:
This record from Alexandria describes LaTlSi2 after structural relaxation. The functional is PBE-GGA.

size of the total moment = 0.00 μB per formula unit
raw formation energy = -0.1395 eV per atom
SG = P4/mmm (123)

Structure (CIF):
```
data_LaTlSi2
_symmetry_space_group_name_H-M 'P 1'
_symmetry_Int_Tables_number 1
_cell_length_a 4.316
_cell_length_b 4.630
_cell_length_c 4.630
_cell_angle_alpha 90.00
_cell_angle_beta 90.00
_cell_angle_gamma 90.00
loop_
_symmetry_equiv_pos_as_xyz
'x,y,z'
loop_
_atom_site_label
_atom_site_fract_x
_atom_site_fract_y
_atom_site_fract_z
Si1 0.000 0.500 0.500
Si2 0.000 0.000 0.000
La1 0.500 0.000 0.500
Tl1 0.500 0.500 0.000
```

Entry 12:
This record from Alexandria describes Ac8Ge3S4Cl after structural relaxation. The functional is PBE-GGA.

size of the total moment = 0.00 μB per formula unit
raw formation energy = -1.5176 eV per atom
SG = R-3m (166)

Structure (CIF):
```
data_Ac8Ge3S4Cl
_symmetry_space_group_name_H-M 'P 1'
_symmetry_Int_Tables_number 1
_cell_length_a 8.944
_cell_length_b 8.853
_cell_length_c 8.944
_cell_angle_alpha 120.34
_cell_angle_beta 120.00
_cell_angle_gamma 90.00
loop_
_symmetry_equiv_pos_as_xyz
'x,y,z'
loop_
_atom_site_label
_atom_site_fract_x
_atom_site_fract_y
_atom_site_fract_z
Ac1 0.750 0.751 0.501
Ac2 0.256 0.754 0.998
Ac3 0.744 0.246 0.002
Ac4 0.256 0.754 0.512
Ac5 0.744 0.246 0.488
Ac6 0.258 0.246 0.002
Ac7 0.742 0.754 0.998
Ac8 0.250 0.249 0.499
Cl1 0.000 0.500 0.000
S1 0.500 0.000 0.500
S2 0.000 0.000 0.500
S3 0.500 0.000 0.000
S4 0.000 0.000 0.000
Ge1 0.000 0.500 0.500
Ge2 0.500 0.500 0.500
Ge3 0.500 0.500 0.000
```

Entry 13:
This record from Alexandria describes Dy5Mg4Cd after structural relaxation. The functional is PBE-GGA.

size of the total moment = 0.00 μB per formula unit
formation energy = -126 meV per atom
SG = P4/mmm (123)

Structure (CIF):
```
data_Dy5Mg4Cd
_symmetry_space_group_name_H-M 'P 1'
_symmetry_Int_Tables_number 1
_cell_length_a 3.790
_cell_length_b 3.790
_cell_length_c 18.770
_cell_angle_alpha 90.00
_cell_angle_beta 90.00
_cell_angle_gamma 90.00
loop_
_symmetry_equiv_pos_as_xyz
'x,y,z'
loop_
_atom_site_label
_atom_site_fract_x
_atom_site_fract_y
_atom_site_fract_z
Dy1 0.500 0.500 0.701
Dy2 0.500 0.500 0.299
Dy3 0.500 0.500 0.500
Dy4 0.500 0.500 0.902
Dy5 0.500 0.500 0.098
Mg1 0.000 0.000 0.200
Mg2 0.000 0.000 0.800
Mg3 0.000 0.000 0.399
Mg4 0.000 0.000 0.601
Cd1 0.000 0.000 0.000
```

| no. | density of states at the Fermi level (states/eV per atom) |
| --- | --- |
| 1 | 2.7829 |
| 2 | 1.3053 |
| 3 | 0.0530 |
| 4 | 0.9813 |
| 5 | 0.3028 |
| 6 | 0.8771 |
| 7 | 1.3338 |
| 8 | 0.6896 |
| 9 | 0.0000 |
| 10 | 0.9340 |
| 11 | 0.5777 |
| 12 | 0.2468 |
| 13 | 1.4039 |